Entry 1:
The following is a PBE calculation of an optimized crystal structure of Li2GaCu3, from Alexandria.

Cell lengths 4.9312, 4.9312, 4.9312 Å; angles 60.72, 60.72, 60.72 degrees
Closest atoms and distances in Å follow each position.
Sites, in units of the cell vectors:
Li 0.1241 0.1241 0.1241  9 Cu 2.90, 3 Ga 2.92, 4 Li 2.98-3.05
Li 0.8759 0.8759 0.8759  9 Cu 2.90, 3 Ga 2.92, 4 Li 2.98-3.05
Ga 0.5000 0.5000 0.5000  6 Cu 2.47
Cu 0.0000 0.5000 0.5000  2 Ga 2.47, 4 Cu 2.49
Cu 0.5000 0.0000 0.5000  2 Ga 2.47, 4 Cu 2.49
Cu 0.5000 0.5000 0.0000  2 Ga 2.47, 4 Cu 2.49

Summary:
* E_form: -0.170 eV per atom
* uncorrected energy: -0.124 Ha/atom
* DOS at the Fermi energy: 2.15 states/eV per cell
* distance to the lowest polymorph of the same formula: 0 meV/atom

***

Entry 2:
The following is a PBE calculation of an optimized crystal structure of Th2TlZn, from Alexandria.

Cell lengths 4.8849, 4.8849, 4.5157 Å; angles 90.00, 90.00, 90.00 degrees
Closest atoms and distances in Å follow each position.
Sites, in units of the cell vectors:
Th 0.0000 0.5000 0.0000  4 Tl 3.33, 4 Zn 3.33, 4 Th 3.45
Th 0.5000 0.0000 0.0000  4 Tl 3.33, 4 Zn 3.33, 4 Th 3.45
Tl 0.0000 0.0000 0.5000  8 Th 3.33, 4 Zn 3.45
Zn 0.5000 0.5000 0.5000  8 Th 3.33, 4 Tl 3.45

Summary:
* E_form: -0.112 eV per atom
* uncorrected energy: -0.174 Ha/atom
* DOS at the Fermi energy: 3.87 states/eV per cell

***

Entry 3:
The following is a PBE calculation of an optimized crystal structure of NiW2Au, from Alexandria.

Cell lengths 9.2544, 9.2544, 9.2544 Å; angles 17.45, 17.45, 17.45 degrees
Closest atoms and distances in Å follow each position.
Sites, in units of the cell vectors:
Ni 0.0000 0.0000 0.0000  3 W 2.59, 3 Au 2.75, 6 Ni 2.81
W 0.4962 0.4962 0.4962  9 W 2.81-2.92, 3 Au 2.93
W 0.7407 0.7407 0.7407  3 Ni 2.59, 6 W 2.81
Au 0.2520 0.2520 0.2520  3 Ni 2.75, 6 Au 2.81, 3 W 2.93

Summary:
* E_form: 0.322 eV per atom
* uncorrected energy: -0.309 Ha/atom
* DOS at the Fermi energy: 4.52 states/eV per cell
* distance to the lowest polymorph of the same formula: 154 meV/atom

***

- Among the records above, which one has the lowest DOS at the Fermi energy?
  Li2GaCu3

***

- Which of these has the lowest DOS at the Fermi energy?
  Li2GaCu3